Material: Rb2BaSnO4
Method: DFT, GGA-PBE
State: optimized geometry

a b c (Å): 6.3203 6.3202 6.6365
angles (deg): 118.44 118.44 89.99
Atoms (fractional coordinates):
1 Ba 0.9859 0.4859 0.9718
2 O 0.6752 0.6397 0.6903
3 O 0.4211 0.7966 0.2532
4 O 0.0151 0.0506 0.6903
5 O 0.8320 0.4566 0.2531
6 Rb 0.4859 0.9859 0.9718
7 Rb 0.2359 0.2359 0.4718
8 Sn 0.7359 0.7359 0.4718

Output
Calculated volume   196.0 Å³/cell
Raw formation energy   -1797 meV per atom


Material: RbBa2SnO
Method: DFT, GGA-PBE
State: optimized geometry

a b c (Å): 5.4983 5.4983 5.6542
angles (deg): 90.00 90.00 90.00
Atoms (fractional coordinates):
1 O 0.0000 0.0000 0.0000
2 Ba 0.0000 0.5000 0.0000
3 Ba 0.5000 0.0000 0.0000
4 Rb 0.0000 0.0000 0.5000
5 Sn 0.5000 0.5000 0.5000

Output
Calculated volume   170.9 Å³/cell
Raw formation energy   -1101 meV per atom


Material: Rb3Ba2TaO6
Method: DFT, GGA-PBE
State: optimized geometry

a b c (Å): 6.5141 6.5141 6.8172
angles (deg): 99.10 99.10 120.15
Atoms (fractional coordinates):
1 O 0.7984 0.7984 0.1801
2 O 0.6800 0.9397 0.8192
3 O 0.9397 0.6800 0.8192
4 O 0.3200 0.0603 0.1808
5 O 0.0603 0.3200 0.1808
6 O 0.2016 0.2016 0.8199
7 Ta 0.0000 0.0000 0.0000
8 Rb 0.8415 0.1585 0.5000
9 Rb 0.5000 0.5000 0.5000
10 Rb 0.1585 0.8415 0.5000
11 Ba 0.3327 0.6673 0.0000
12 Ba 0.6673 0.3327 0.0000

Output
Calculated volume   237.2 Å³/cell
Raw formation energy   -2254 meV per atom


Material: RbBaTaO4
Method: DFT, GGA-PBE
State: optimized geometry

a b c (Å): 6.9572 6.5289 8.0892
angles (deg): 90.00 93.57 90.00
Atoms (fractional coordinates):
1 Ta 0.3055 0.7500 0.3509
2 Ta 0.6945 0.2500 0.6491
3 Ba 0.1913 0.2500 0.5795
4 Ba 0.8087 0.7500 0.4205
5 O 0.8616 0.0238 0.6624
6 O 0.1384 0.9762 0.3376
7 O 0.4411 0.7500 0.5561
8 O 0.1384 0.5238 0.3376
9 O 0.8616 0.4762 0.6624
10 O 0.5589 0.2500 0.4439
11 O 0.5064 0.2500 0.8055
12 O 0.4936 0.7500 0.1945
13 Rb 0.6278 0.7500 0.8718
14 Rb 0.3722 0.2500 0.1282

Output
Calculated volume   366.7 Å³/cell
Raw formation energy   -2651 meV per atom